Computed, not measured: a relaxed RbLi2MoOs crystal at the PBE level of DFT.

Summary:
* spin magnetization: 1.2 μB per cell
* uncorrected energy: -21.1 eV per cell
* SG: P4/mmm, No. 123

Lattice parameters (Å, degrees): 5.4726 4.6277 5.4726 90.00 90.00 90.00
Last column: nearest neighbours and their distance in Å.
Atoms (fractional coordinates):
Mo 0.0000 0.0000 0.0000  2 Os 2.31
Li 0.5000 0.0000 0.0000  2 Mo 2.74
Li 0.0000 0.0000 0.5000  2 Mo 2.74
Rb 0.5000 0.5000 0.5000  8 Li 3.58, 4 Os 3.87
Os 0.0000 0.5000 0.0000  2 Mo 2.31